Entry 1:
InCu2Se after structural relaxation. Source: the Alexandria database, functional PBE.

Cell lengths 3.5091, 3.5091, 6.1453 Å; angles 90.00, 90.00, 90.00 degrees
With the nearest neighbours (Å) after each atom.
Fractional positions:
In 0.0000 0.0000 0.0000  5 Cu 2.76-2.85
Cu 0.0000 0.0000 0.4636  4 Se 2.50
Cu 0.5000 0.5000 0.8051  1 Se 2.38
Se 0.5000 0.5000 0.4182  5 Cu 2.38-2.50

Results
Its raw formation energy is 0.073 eV/atom. As for the symmetry: P4mm, No. 99. The value obtained for the density of states at the Fermi level is 2.2 states/eV/f.u.



Entry 2:
InCuSe after structural relaxation. Source: the Alexandria database, functional PBE.

Cell lengths 3.4826, 3.4826, 11.9486 Å; angles 90.00, 90.00, 90.00 degrees
With the nearest neighbours (Å) after each atom.
Fractional positions:
In 0.0000 0.0000 0.0000  1 Cu 2.84, 1 Se 2.87
In 0.5000 0.5000 0.5000  1 Cu 2.84, 1 Se 2.87
Cu 0.0000 0.0000 0.7626  4 Se 2.48
Cu 0.5000 0.5000 0.2626  4 Se 2.48
Se 0.0000 0.0000 0.2400  4 Cu 2.48
Se 0.5000 0.5000 0.7400  4 Cu 2.48

Results
Its raw formation energy is 0.014 eV/atom. As for the energy above the most stable polymorph in this dataset: 0.217 eV per atom. As for the symmetry: I4mm, No. 107. The value obtained for the density of states at the Fermi level is 1.4 states/eV/f.u.



Entry 3:
InCuSe4 after structural relaxation. Source: the Alexandria database, functional PBE.

Cell lengths 5.8054, 5.8054, 5.8054 Å; angles 60.00, 60.00, 60.00 degrees
With the nearest neighbours (Å) after each atom.
Fractional positions:
In 0.0000 0.0000 0.0000  12 Se 3.41, 4 Cu 3.56
Cu 0.2500 0.2500 0.2500  12 Se 3.40, 4 In 3.56
Se 0.1267 0.6244 0.6244  6 Se 2.89-2.92
Se 0.6244 0.1267 0.6244  6 Se 2.89-2.92
Se 0.6244 0.6244 0.1267  6 Se 2.89-2.92
Se 0.6244 0.6244 0.6244  6 Se 2.89-2.92

Results
Its raw formation energy is 0.514 eV/atom. As for the symmetry: F-43m, No. 216. The value obtained for the density of states at the Fermi level is 1.9 states/eV/f.u.



Entry 4:
InCu2Se after structural relaxation. Source: the Alexandria database, functional PBE.

Cell lengths 3.5020, 3.5961, 11.9306 Å; angles 90.00, 90.00, 90.00 degrees
With the nearest neighbours (Å) after each atom.
Fractional positions:
In 0.0000 0.0000 0.0000  4 Cu 2.78
In 0.5000 0.5000 0.5000  4 Cu 2.78
Cu 0.0000 0.0000 0.3996  2 Cu 2.57, 2 Se 2.70, 4 In 2.78
Cu 0.0000 0.5000 0.2455  4 Se 2.52, 2 Cu 2.57
Cu 0.5000 0.0000 0.7455  4 Se 2.52, 2 Cu 2.57
Cu 0.5000 0.5000 0.8996  2 Cu 2.57, 2 Se 2.70, 4 In 2.78
Se 0.0000 0.5000 0.7270  6 Cu 2.52-2.70
Se 0.5000 0.0000 0.2270  6 Cu 2.52-2.70

Results
Its raw formation energy is 0.046 eV/atom. As for the symmetry: Imm2, No. 44. The value obtained for the density of states at the Fermi level is 1.0 states/eV/f.u.



Entry 5:
In4CuSe after structural relaxation. Source: the Alexandria database, functional PBE.

Cell lengths 6.1001, 6.1001, 6.1001 Å; angles 60.00, 60.00, 60.00 degrees
With the nearest neighbours (Å) after each atom.
Fractional positions:
In 0.1254 0.1254 0.1254  6 In 3.04-3.06
In 0.1254 0.1254 0.6239  6 In 3.04-3.06
In 0.1254 0.6239 0.1254  6 In 3.04-3.06
In 0.6239 0.1254 0.1254  6 In 3.04-3.06
Cu 0.5000 0.5000 0.5000  12 In 3.58, 4 Se 3.74
Se 0.7500 0.7500 0.7500  12 In 3.58, 4 Cu 3.74

Results
Its raw formation energy is 0.383 eV/atom. As for the symmetry: F-43m, No. 216. The value obtained for the density of states at the Fermi level is 2.2 states/eV/f.u.



Entry 6:
InCu2Se after structural relaxation. Source: the Alexandria database, functional PBE.

Cell lengths 7.0084, 3.6505, 6.1389 Å; angles 90.00, 107.75, 90.00 degrees
With the nearest neighbours (Å) after each atom.
Fractional positions:
In 0.0000 0.0000 0.0000  6 Cu 2.81-2.83
In 0.5000 0.5000 0.0000  6 Cu 2.81-2.83
Cu 0.2405 0.0000 0.7051  3 Se 2.51-2.54
Cu 0.2595 0.5000 0.2949  3 Se 2.51-2.54
Cu 0.7405 0.5000 0.7051  3 Se 2.51-2.54
Cu 0.7595 0.0000 0.2949  3 Se 2.51-2.54
Se 0.0000 0.5000 0.5000  6 Cu 2.51-2.54
Se 0.5000 0.0000 0.5000  6 Cu 2.51-2.54

Results
Its raw formation energy is 0.046 eV/atom. As for the symmetry: C2/m, No. 12. The value obtained for the density of states at the Fermi level is 1.5 states/eV/f.u.



Entry 7:
SrInCuSe2 after structural relaxation. Source: the Alexandria database, functional PBE.

Cell lengths 5.1928, 5.1928, 6.6053 Å; angles 90.00, 90.00, 90.00 degrees
With the nearest neighbours (Å) after each atom.
Fractional positions:
Sr 0.0000 0.0000 0.0000  2 In 3.30, 4 Cu 3.67
In 0.0000 0.0000 0.5000  4 Se 2.60
Cu 0.5000 0.5000 0.0000  4 Sr 3.67
Se 0.0000 0.5000 0.5000  2 In 2.60
Se 0.5000 0.0000 0.5000  2 In 2.60

Results
Its raw formation energy is 0.301 eV/atom. As for the symmetry: P4/mmm, No. 123. The value obtained for the density of states at the Fermi level is 3.1 states/eV/f.u.



Entry 8:
TbIn4CuSe8 after structural relaxation. Source: the Alexandria database, functional PBE.

Cell lengths 8.0819, 8.0819, 8.0819 Å; angles 60.51, 60.51, 60.51 degrees
With the nearest neighbours (Å) after each atom.
Fractional positions:
Tb 0.0000 0.0000 0.0000  6 Se 2.82-2.92
In 0.4697 0.9954 0.9954  6 Se 2.77-2.85
In 0.6123 0.6123 0.6123  4 Se 2.65-2.70
In 0.9954 0.4697 0.9954  6 Se 2.77-2.85
In 0.9954 0.9954 0.4697  6 Se 2.77-2.85
Cu 0.3640 0.3640 0.3640  4 Se 2.48-2.51
Se 0.2130 0.7468 0.7468  3 In 2.65-2.85, 1 Tb 2.92
Se 0.2369 0.2369 0.2369  1 Cu 2.51, 3 In 2.77
Se 0.2449 0.2449 0.7371  1 Cu 2.48
Se 0.2449 0.7371 0.2449  1 Cu 2.48
Se 0.7371 0.2449 0.2449  1 Cu 2.48
Se 0.7468 0.2130 0.7468  3 In 2.65-2.85, 1 Tb 2.92
Se 0.7468 0.7468 0.2130  3 In 2.65-2.85, 1 Tb 2.92
Se 0.7493 0.7493 0.7493  4 In 2.70-2.84

Results
Its raw formation energy is -0.690 eV/atom. As for the symmetry: R3m, No. 160. The value obtained for the density of states at the Fermi level is 6.9 states/eV/f.u.



Entry 9:
Tb2InCuSe4 after structural relaxation. Source: the Alexandria database, functional PBE.

Cell lengths 7.3453, 7.3453, 14.3706 Å; angles 90.00, 90.00, 147.54 degrees
With the nearest neighbours (Å) after each atom.
Fractional positions:
Tb 0.1341 0.8659 0.5649  6 Se 2.85-2.94
Tb 0.1341 0.8659 0.9351  6 Se 2.85-2.94
Tb 0.8659 0.1341 0.0649  6 Se 2.85-2.94
Tb 0.8659 0.1341 0.4351  6 Se 2.85-2.94
In 0.3881 0.6119 0.7500  6 Se 3.20-3.32
In 0.6119 0.3881 0.2500  6 Se 3.20-3.32
Cu 0.3398 0.6602 0.2500  4 Se 2.47-2.48
Cu 0.6602 0.3398 0.7500  4 Se 2.47-2.48
Se 0.0619 0.9381 0.7500  2 Cu 2.48
Se 0.2338 0.7662 0.1131  1 Cu 2.47
Se 0.2338 0.7662 0.3869  1 Cu 2.47
Se 0.5000 0.5000 0.0000  4 Tb 2.94
Se 0.5000 0.5000 0.5000  4 Tb 2.94
Se 0.7662 0.2338 0.6131  1 Cu 2.47
Se 0.7662 0.2338 0.8869  1 Cu 2.47
Se 0.9381 0.0619 0.2500  2 Cu 2.48

Results
Its raw formation energy is -1.276 eV/atom. As for the symmetry: Cmcm, No. 63.



Entry 10:
Tb2InCuSe5 after structural relaxation. Source: the Alexandria database, functional PBE.

Cell lengths 8.8151, 8.8151, 12.0726 Å; angles 90.00, 90.00, 153.82 degrees
With the nearest neighbours (Å) after each atom.
Fractional positions:
Tb 0.1141 0.8859 0.5000  8 Se 3.00-3.11
Tb 0.1193 0.8807 0.1171  8 Se 2.94-3.15
Tb 0.8807 0.1193 0.6171  8 Se 2.94-3.15
Tb 0.8859 0.1141 0.0000  8 Se 3.00-3.11
In 0.1888 0.8112 0.8135  6 Se 2.68-2.85
In 0.8112 0.1888 0.3135  6 Se 2.68-2.85
Cu 0.4979 0.5021 0.8040  4 Se 2.37-2.51
Cu 0.5021 0.4979 0.3040  4 Se 2.37-2.51
Se 0.0421 0.9579 0.8895  2 Cu 2.37
Se 0.2898 0.7102 0.4798  2 In 2.85, 3 Tb 3.03
Se 0.2974 0.7026 0.1517  2 In 2.80, 3 Tb 3.09-3.11
Se 0.3520 0.6480 0.8147  1 Cu 2.51, 1 In 2.80
Se 0.4938 0.5062 0.1067  1 Cu 2.39
Se 0.5062 0.4938 0.6067  1 Cu 2.39
Se 0.6480 0.3520 0.3147  1 Cu 2.51, 1 In 2.80
Se 0.7026 0.2974 0.6517  2 In 2.80, 3 Tb 3.09-3.11
Se 0.7102 0.2898 0.9798  2 In 2.85, 3 Tb 3.03
Se 0.9579 0.0421 0.3895  2 Cu 2.37

Results
Its raw formation energy is -1.146 eV/atom. As for the symmetry: Cmc2_1, No. 36. The value obtained for the density of states at the Fermi level is 0.8 states/eV/f.u.



Entry 11:
InCuTcSe2 after structural relaxation. Source: the Alexandria database, functional PBE.

Cell lengths 5.3289, 5.3289, 4.7621 Å; angles 90.00, 90.00, 90.00 degrees
With the nearest neighbours (Å) after each atom.
Fractional positions:
In 0.0000 0.0000 0.0000  2 Cu 2.38, 4 Se 2.66
Cu 0.0000 0.0000 0.5000  2 In 2.38
Tc 0.5000 0.5000 0.5000  8 Se 3.57, 4 Cu 3.77
Se 0.0000 0.5000 0.0000  2 In 2.66
Se 0.5000 0.0000 0.0000  2 In 2.66

Results
Its raw formation energy is 1.176 eV/atom. As for the symmetry: P4/mmm, No. 123. The value obtained for the density of states at the Fermi level is 2.2 states/eV/f.u.



Entry 12:
InCuTeSe after structural relaxation. Source: the Alexandria database, functional PBE.

Cell lengths 7.5063, 4.3230, 7.4570 Å; angles 90.00, 109.64, 90.00 degrees
With the nearest neighbours (Å) after each atom.
Fractional positions:
In 0.0000 0.0000 0.0000  3 Se 2.75, 1 Te 2.79
In 0.5000 0.5000 0.0000  3 Se 2.75, 1 Te 2.79
Cu 0.4917 0.0000 0.4788  1 Se 2.51, 3 Te 2.56
Cu 0.9917 0.5000 0.4788  1 Se 2.51, 3 Te 2.56
Te 0.1317 0.0000 0.3974  3 Cu 2.56, 1 In 2.79
Te 0.6317 0.5000 0.3974  3 Cu 2.56, 1 In 2.79
Se 0.1123 0.5000 0.8362  1 Cu 2.51, 3 In 2.75
Se 0.6123 0.0000 0.8362  1 Cu 2.51, 3 In 2.75

Results
Its raw formation energy is -0.310 eV/atom. As for the energy above the most stable polymorph in this dataset: 0.031 eV per atom. As for the symmetry: Cm, No. 8. The value obtained for the density of states at the Fermi level is 1.2 states/eV/f.u.



V, respectively: 75.7 144.9 138.3 150.2 160.5 149.6 178.1 377.5 416.1 413.8 135.2 227.9 Å³/cell.
M_tot, respectively: 0.0 0.0 0.0 0.0 0.0 0.0 0.0 0.0 0.0 0.0 4.8 0.0 μB/f.u..
Raw total energy, respectively: -3.531 -3.426 -2.948 -3.558 -2.706 -3.558 -2.796 -4.087 -5.030 -4.870 -3.658 -3.675 eV/atom.